Compound: Li3CeAg3
Source: Alexandria
Functional: PBE
Structure: optimized geometry

Calculated formation energy = 211.6 meV/atom
Space-group type = Pm-3n (223)
Calculated density = 5.0 Mg/m³

```
data_Li3CeAg3
_space_group_name_H-M_alt 'P 1'
_space_group_IT_number 1
_space_group_name_Hall 'P 1'
_cell_length_a 6.8445
_cell_length_b 6.8445
_cell_length_c 6.8445
_cell_angle_alpha 90.00
_cell_angle_beta 90.00
_cell_angle_gamma 90.00
loop_
_atom_site_label
_atom_site_type_symbol
_atom_site_fract_x
_atom_site_fract_y
_atom_site_fract_z
_atom_site_occupancy
Ag1 Ag 0.5000 0.0000 0.7500 1
Ag2 Ag 0.5000 0.0000 0.2500 1
Ag3 Ag 0.7500 0.5000 0.0000 1
Ag4 Ag 0.2500 0.5000 0.0000 1
Ag5 Ag 0.0000 0.7500 0.5000 1
Ag6 Ag 0.0000 0.2500 0.5000 1
Li1 Li 0.5000 0.2500 0.0000 1
Li2 Li 0.0000 0.5000 0.7500 1
Li3 Li 0.7500 0.0000 0.5000 1
Li4 Li 0.2500 0.0000 0.5000 1
Li5 Li 0.0000 0.5000 0.2500 1
Li6 Li 0.5000 0.7500 0.0000 1
Ce1 Ce 0.0000 0.0000 0.0000 1
Ce2 Ce 0.5000 0.5000 0.5000 1
```



Compound: LiCe2Ag
Source: Alexandria
Functional: PBE
Structure: optimized geometry

Calculated formation energy = 67.0 meV/atom
Space-group type = P4/mmm (123)
Calculated density = 7.3 Mg/m³

```
data_LiCe2Ag
_space_group_name_H-M_alt 'P 1'
_space_group_IT_number 1
_space_group_name_Hall 'P 1'
_cell_length_a 5.0462
_cell_length_b 4.2142
_cell_length_c 4.2142
_cell_angle_alpha 90.00
_cell_angle_beta 90.00
_cell_angle_gamma 90.00
loop_
_atom_site_label
_atom_site_type_symbol
_atom_site_fract_x
_atom_site_fract_y
_atom_site_fract_z
_atom_site_occupancy
Li1 Li 0.5000 0.0000 0.0000 1
Ag1 Ag 0.5000 0.5000 0.5000 1
Ce1 Ce 0.0000 0.0000 0.5000 1
Ce2 Ce 0.0000 0.5000 0.0000 1
```



Compound: Li2CeAg
Source: Alexandria
Functional: PBE
Structure: optimized geometry

Calculated formation energy = 9.9 meV/atom
Space-group type = P4/mmm (123)
Calculated density = 5.5 Mg/m³

```
data_Li2CeAg
_space_group_name_H-M_alt 'P 1'
_space_group_IT_number 1
_space_group_name_Hall 'P 1'
_cell_length_a 2.8977
_cell_length_b 2.8977
_cell_length_c 9.4920
_cell_angle_alpha 90.00
_cell_angle_beta 90.00
_cell_angle_gamma 90.00
loop_
_atom_site_label
_atom_site_type_symbol
_atom_site_fract_x
_atom_site_fract_y
_atom_site_fract_z
_atom_site_occupancy
Ag1 Ag 0.5000 0.5000 0.0000 1
Li1 Li 0.0000 0.0000 0.7984 1
Li2 Li 0.0000 0.0000 0.2016 1
Ce1 Ce 0.5000 0.5000 0.5000 1
```



Compound: Li4CeAg
Source: Alexandria
Functional: PBE
Structure: optimized geometry

Calculated formation energy = 72.4 meV/atom
Space-group type = F-43m (216)
Calculated density = 4.0 Mg/m³

```
data_Li4CeAg
_space_group_name_H-M_alt 'P 1'
_space_group_IT_number 1
_space_group_name_Hall 'P 1'
_cell_length_a 5.4686
_cell_length_b 5.4686
_cell_length_c 5.4686
_cell_angle_alpha 60.00
_cell_angle_beta 60.00
_cell_angle_gamma 60.00
loop_
_atom_site_label
_atom_site_type_symbol
_atom_site_fract_x
_atom_site_fract_y
_atom_site_fract_z
_atom_site_occupancy
Ag1 Ag 0.0000 0.0000 0.0000 1
Li1 Li 0.1165 0.6278 0.6278 1
Li2 Li 0.6278 0.6278 0.6278 1
Li3 Li 0.6278 0.6278 0.1165 1
Li4 Li 0.6278 0.1165 0.6278 1
Ce1 Ce 0.2500 0.2500 0.2500 1
```



Compound: LiCeAg2
Source: Alexandria
Functional: PBE
Structure: optimized geometry

Calculated formation energy = -60.7 meV/atom
Space-group type = Fm-3m (225)
Calculated density = 6.6 Mg/m³

```
data_LiCeAg2
_space_group_name_H-M_alt 'P 1'
_space_group_IT_number 1
_space_group_name_Hall 'P 1'
_cell_length_a 5.0487
_cell_length_b 5.0487
_cell_length_c 5.0487
_cell_angle_alpha 60.00
_cell_angle_beta 60.00
_cell_angle_gamma 60.00
loop_
_atom_site_label
_atom_site_type_symbol
_atom_site_fract_x
_atom_site_fract_y
_atom_site_fract_z
_atom_site_occupancy
Ce1 Ce 0.5000 0.5000 0.5000 1
Ag1 Ag 0.2500 0.2500 0.2500 1
Ag2 Ag 0.7500 0.7500 0.7500 1
Li1 Li 0.0000 0.0000 0.0000 1
```



Compound: Li5CeAg4
Source: Alexandria
Functional: PBE
Structure: optimized geometry

Calculated formation energy = -119.6 meV/atom
Space-group type = P4/mmm (123)
Calculated density = 5.8 Mg/m³

```
data_Li5CeAg4
_space_group_name_H-M_alt 'P 1'
_space_group_IT_number 1
_space_group_name_Hall 'P 1'
_cell_length_a 3.1627
_cell_length_b 3.1627
_cell_length_c 17.4771
_cell_angle_alpha 90.00
_cell_angle_beta 90.00
_cell_angle_gamma 90.00
loop_
_atom_site_label
_atom_site_type_symbol
_atom_site_fract_x
_atom_site_fract_y
_atom_site_fract_z
_atom_site_occupancy
Li1 Li 0.5000 0.5000 0.8583 1
Li2 Li 0.5000 0.5000 0.3186 1
Li3 Li 0.5000 0.5000 0.1417 1
Li4 Li 0.5000 0.5000 0.6814 1
Li5 Li 0.5000 0.5000 0.5000 1
Ag1 Ag 0.0000 0.0000 0.5905 1
Ag2 Ag 0.0000 0.0000 0.7721 1
Ag3 Ag 0.0000 0.0000 0.2279 1
Ag4 Ag 0.0000 0.0000 0.4095 1
Ce1 Ce 0.0000 0.0000 0.0000 1
```



Compound: Li4CeAg5
Source: Alexandria
Functional: PBE
Structure: optimized geometry

Calculated formation energy = -184.9 meV/atom
Space-group type = P4/mmm (123)
Calculated density = 6.7 Mg/m³

```
data_Li4CeAg5
_space_group_name_H-M_alt 'P 1'
_space_group_IT_number 1
_space_group_name_Hall 'P 1'
_cell_length_a 3.2122
_cell_length_b 3.2122
_cell_length_c 17.0146
_cell_angle_alpha 90.00
_cell_angle_beta 90.00
_cell_angle_gamma 90.00
loop_
_atom_site_label
_atom_site_type_symbol
_atom_site_fract_x
_atom_site_fract_y
_atom_site_fract_z
_atom_site_occupancy
Ag1 Ag 0.5000 0.5000 0.5000 1
Ag2 Ag 0.5000 0.5000 0.3171 1
Ag3 Ag 0.5000 0.5000 0.1366 1
Ag4 Ag 0.5000 0.5000 0.8634 1
Ag5 Ag 0.5000 0.5000 0.6829 1
Li1 Li 0.0000 0.0000 0.7742 1
Li2 Li 0.0000 0.0000 0.5917 1
Li3 Li 0.0000 0.0000 0.4083 1
Li4 Li 0.0000 0.0000 0.2258 1
Ce1 Ce 0.0000 0.0000 0.0000 1
```



Compound: LiCe2Ag6
Source: Alexandria
Functional: PBE
Structure: optimized geometry

Calculated formation energy = -91.6 meV/atom
Space-group type = P6/mmm (191)
Calculated density = 8.1 Mg/m³

```
data_LiCe2Ag6
_space_group_name_H-M_alt 'P 1'
_space_group_IT_number 1
_space_group_name_Hall 'P 1'
_cell_length_a 3.0490
_cell_length_b 8.5330
_cell_length_c 8.5330
_cell_angle_alpha 60.00
_cell_angle_beta 89.95
_cell_angle_gamma 89.95
loop_
_atom_site_label
_atom_site_type_symbol
_atom_site_fract_x
_atom_site_fract_y
_atom_site_fract_z
_atom_site_occupancy
Li1 Li 0.0000 0.0000 0.0000 1
Ce1 Ce 0.0000 0.3333 0.3333 1
Ce2 Ce 0.0000 0.6667 0.6667 1
Ag1 Ag 0.5009 0.3262 0.0000 1
Ag2 Ag 0.5000 0.6738 0.3262 1
Ag3 Ag 0.4991 0.0000 0.6738 1
Ag4 Ag 0.5009 0.0000 0.3262 1
Ag5 Ag 0.4991 0.6738 0.0000 1
Ag6 Ag 0.5000 0.3262 0.6738 1
```



Compound: LiCe2Ag
Source: Alexandria
Functional: PBE
Structure: optimized geometry

Calculated formation energy = 133.9 meV/atom
Space-group type = P4/mmm (123)
Calculated density = 6.8 Mg/m³

```
data_LiCe2Ag
_space_group_name_H-M_alt 'P 1'
_space_group_IT_number 1
_space_group_name_Hall 'P 1'
_cell_length_a 3.8549
_cell_length_b 3.8549
_cell_length_c 6.5002
_cell_angle_alpha 90.00
_cell_angle_beta 90.00
_cell_angle_gamma 90.00
loop_
_atom_site_label
_atom_site_type_symbol
_atom_site_fract_x
_atom_site_fract_y
_atom_site_fract_z
_atom_site_occupancy
Li1 Li 0.5000 0.5000 0.0000 1
Ce1 Ce 0.0000 0.0000 0.7820 1
Ce2 Ce 0.0000 0.0000 0.2180 1
Ag1 Ag 0.5000 0.5000 0.5000 1
```



Compound: Li5Ce2Ag12
Source: Alexandria
Functional: PBE
Structure: optimized geometry

Calculated formation energy = -138.5 meV/atom
Space-group type = R-3m (166)
Calculated density = 7.3 Mg/m³

```
data_Li5Ce2Ag12
_space_group_name_H-M_alt 'P 1'
_space_group_IT_number 1
_space_group_name_Hall 'P 1'
_cell_length_a 7.2236
_cell_length_b 7.2236
_cell_length_c 7.2236
_cell_angle_alpha 81.44
_cell_angle_beta 81.44
_cell_angle_gamma 81.44
loop_
_atom_site_label
_atom_site_type_symbol
_atom_site_fract_x
_atom_site_fract_y
_atom_site_fract_z
_atom_site_occupancy
Ag1 Ag 0.6976 0.0000 0.3024 1
Ag2 Ag 0.6976 0.3024 0.0000 1
Ag3 Ag 0.1410 0.6612 0.6612 1
Ag4 Ag 0.3024 0.6976 0.0000 1
Ag5 Ag 0.3388 0.3388 0.8590 1
Ag6 Ag 0.3388 0.8590 0.3388 1
Ag7 Ag 0.3024 0.0000 0.6976 1
Ag8 Ag 0.6612 0.6612 0.1410 1
Ag9 Ag 0.0000 0.3024 0.6976 1
Ag10 Ag 0.0000 0.6976 0.3024 1
Ag11 Ag 0.8590 0.3388 0.3388 1
Ag12 Ag 0.6612 0.1410 0.6612 1
Li1 Li 0.0000 0.0000 0.5000 1
Li2 Li 0.5000 0.0000 0.0000 1
Li3 Li 0.0914 0.0914 0.0914 1
Li4 Li 0.0000 0.5000 0.0000 1
Li5 Li 0.9086 0.9086 0.9086 1
Ce1 Ce 0.6413 0.6413 0.6413 1
Ce2 Ce 0.3587 0.3587 0.3587 1
```



Compound: Li2CeAg3
Source: Alexandria
Functional: PBE
Structure: optimized geometry

Calculated formation energy = -161.3 meV/atom
Space-group type = P4/mmm (123)
Calculated density = 7.1 Mg/m³

```
data_Li2CeAg3
_space_group_name_H-M_alt 'P 1'
_space_group_IT_number 1
_space_group_name_Hall 'P 1'
_cell_length_a 3.2240
_cell_length_b 3.2240
_cell_length_c 10.7526
_cell_angle_alpha 90.00
_cell_angle_beta 90.00
_cell_angle_gamma 90.00
loop_
_atom_site_label
_atom_site_type_symbol
_atom_site_fract_x
_atom_site_fract_y
_atom_site_fract_z
_atom_site_occupancy
Li1 Li 0.5000 0.5000 0.1439 1
Li2 Li 0.5000 0.5000 0.8561 1
Ag1 Ag 0.0000 0.0000 0.2844 1
Ag2 Ag 0.0000 0.0000 0.7156 1
Ag3 Ag 0.0000 0.0000 0.0000 1
Ce1 Ce 0.5000 0.5000 0.5000 1
```



Compound: LiCeLuAg
Source: Alexandria
Functional: PBE
Structure: optimized geometry

Calculated formation energy = 26.9 meV/atom
Space-group type = F-43m (216)
Calculated density = 7.3 Mg/m³

```
data_LiCeLuAg
_space_group_name_H-M_alt 'P 1'
_space_group_IT_number 1
_space_group_name_Hall 'P 1'
_cell_length_a 5.1793
_cell_length_b 5.1793
_cell_length_c 5.1793
_cell_angle_alpha 60.00
_cell_angle_beta 60.00
_cell_angle_gamma 60.00
loop_
_atom_site_label
_atom_site_type_symbol
_atom_site_fract_x
_atom_site_fract_y
_atom_site_fract_z
_atom_site_occupancy
Lu1 Lu 0.0000 0.0000 0.0000 1
Ce1 Ce 0.5000 0.5000 0.5000 1
Ag1 Ag 0.2500 0.2500 0.2500 1
Li1 Li 0.7500 0.7500 0.7500 1
```